Entry 1:
VASP calculation (PBE-GGA) on La4DyTe5 after structural relaxation.

abc: 6.4286 7.8532 7.8532
angles: 80.36 65.84 65.84
Fractional positions:
1 La 0.4061 0.3995 0.7901
2 La 0.8056 0.7901 0.6005
3 La 0.1962 0.2099 0.3995
4 La 0.5957 0.6005 0.2099
5 Dy 0.0016 0.0000 0.0000
6 Te 0.9005 0.3889 0.8119
7 Te 0.2894 0.8119 0.6111
8 Te 0.7124 0.1881 0.3889
9 Te 0.1013 0.6111 0.1881
10 Te 0.5014 0.0000 0.0000

## Properties
E_form (uncorrected) = -1.528 eV per atom
Final energy = -5.530 eV/atom
Symmetry = I4/m (87)
ΔE to the lowest computed polymorph = 0.000 eV/atom

---

Entry 2:
VASP calculation (PBE-GGA) on La2DyTe3 after structural relaxation.

abc: 7.8282 7.8282 14.1332
angles: 100.79 100.79 108.89
Fractional positions:
1 La 0.9982 0.4982 0.9965
2 La 0.4193 0.4193 0.8385
3 La 0.8307 0.3307 0.6615
4 La 0.2518 0.2518 0.5035
5 La 0.7482 0.7482 0.4965
6 La 0.6693 0.1693 0.3385
7 La 0.5807 0.5807 0.1615
8 La 0.5018 0.0018 0.0035
9 Dy 0.9172 0.9172 0.8344
10 Dy 0.3328 0.8328 0.6656
11 Dy 0.1672 0.6672 0.3344
12 Dy 0.0828 0.0828 0.1656
13 Te 0.1649 0.6768 0.8282
14 Te 0.6633 0.1514 0.8282
15 Te 0.0851 0.0732 0.6718
16 Te 0.5867 0.5986 0.6718
17 Te 0.0143 0.5143 0.5000
18 Te 0.4857 0.9857 0.5000
19 Te 0.4014 0.4133 0.3282
20 Te 0.9268 0.9149 0.3282
21 Te 0.8486 0.3367 0.1718
22 Te 0.3232 0.8351 0.1718
23 Te 0.2357 0.2357 0.0000
24 Te 0.7643 0.7643 0.0000

## Properties
E_form (uncorrected) = -1.491 eV per atom
Final energy = -5.472 eV/atom
Symmetry = Fddd (70)
ΔE to the lowest computed polymorph = 0.000 eV/atom

---

Entry 3:
VASP calculation (PBE-GGA) on La4DyTe5 after structural relaxation.

abc: 4.5361 4.5361 16.3854
angles: 97.96 97.96 90.00
Fractional positions:
1 La 0.3990 0.3990 0.7979
2 La 0.8038 0.8038 0.6076
3 La 0.1962 0.1962 0.3924
4 La 0.6010 0.6010 0.2021
5 Dy 0.0000 0.0000 0.0000
6 Te 0.0955 0.0955 0.1910
7 Te 0.5000 0.5000 0.0000
8 Te 0.9045 0.9045 0.8090
9 Te 0.2980 0.2980 0.5959
10 Te 0.7020 0.7020 0.4041

## Properties
E_form (uncorrected) = -1.520 eV per atom
Final energy = -5.522 eV/atom
Symmetry = I4/mmm (139)
ΔE to the lowest computed polymorph = 0.007 eV/atom

---

Entry 4:
VASP calculation (PBE-GGA) on La3DyTe6 after structural relaxation.

abc: 4.5141 12.8105 13.2365
angles: 108.71 90.00 90.00
Fractional positions:
1 La 0.7500 0.4181 0.8301
2 La 0.2500 0.5819 0.1699
3 La 0.7500 0.6838 0.5064
4 La 0.2500 0.3162 0.4936
5 La 0.7500 0.1583 0.0760
6 La 0.2500 0.8417 0.9240
7 Dy 0.7500 0.0399 0.6868
8 Dy 0.2500 0.9601 0.3132
9 Te 0.7500 0.4844 0.6201
10 Te 0.2500 0.5156 0.3799
11 Te 0.7500 0.9171 0.1085
12 Te 0.2500 0.0829 0.8915
13 Te 0.7500 0.4026 0.0692
14 Te 0.2500 0.5974 0.9308
15 Te 0.7500 0.7619 0.2887
16 Te 0.2500 0.2381 0.7113
17 Te 0.7500 0.1047 0.4638
18 Te 0.2500 0.8953 0.5362
19 Te 0.7500 0.8180 0.7513
20 Te 0.2500 0.1820 0.2487

## Properties
E_form (uncorrected) = -1.478 eV per atom
Final energy = -5.301 eV/atom
Symmetry = P2_1/m (11)
ΔE to the lowest computed polymorph = 0.010 eV/atom

---

Entry 5:
VASP calculation (PBE-GGA) on LaDy5Te8 after structural relaxation.

abc: 9.1175 9.1175 9.1175
angles: 60.00 60.00 60.00
Fractional positions:
1 La 0.2500 0.2500 0.2500
2 Dy 0.0000 0.0000 0.0000
3 Dy 0.6267 0.6267 0.1200
4 Dy 0.6267 0.6267 0.6267
5 Dy 0.1200 0.6267 0.6267
6 Dy 0.6267 0.1200 0.6267
7 Te 0.3868 0.8395 0.3868
8 Te 0.8395 0.3868 0.3868
9 Te 0.3868 0.3868 0.3868
10 Te 0.3868 0.3868 0.8395
11 Te 0.8681 0.8681 0.3958
12 Te 0.3958 0.8681 0.8681
13 Te 0.8681 0.8681 0.8681
14 Te 0.8681 0.3958 0.8681

## Properties
E_form (uncorrected) = -1.249 eV per atom
Final energy = -5.040 eV/atom
Symmetry = F-43m (216)

---

Entry 6:
VASP calculation (PBE-GGA) on LaDyTe2 after structural relaxation.

abc: 4.4475 4.4475 7.7991
angles: 89.89 106.63 120.10
Fractional positions:
1 La 0.0000 0.5000 0.5000
2 Dy 0.0000 0.0000 0.0000
3 Te 0.5114 0.2557 0.7671
4 Te 0.4886 0.7443 0.2329

## Properties
E_form (uncorrected) = -1.444 eV per atom
Final energy = -5.398 eV/atom
Symmetry = C2/m (12)
ΔE to the lowest computed polymorph = 0.000 eV/atom